# 1
# PBE Dy5Tm2Mg, optimized geometry
# * ΔE to the lowest computed polymorph: 0 meV per atom
# * calculated formation energy: 0.02 eV/atom
data_Dy5Tm2Mg
_chemical_formula_sum 'Dy10 Tm4 Mg2'
_cell_length_a 3.5270
_cell_length_b 7.7244
_cell_length_c 18.2003
_cell_angle_alpha 91.74
_cell_angle_beta 90.03
_cell_angle_gamma 103.18
_symmetry_space_group_name_H-M 'P -1'
_symmetry_Int_Tables_number 2
_symmetry_space_group_name_Hall '-P 1'
loop_
_atom_site_label
_atom_site_fract_x
_atom_site_fract_y
_atom_site_fract_z
Dy1 0.0287 0.0586 0.0939
Dy2 0.0919 0.1873 0.2804
Dy3 0.2176 0.4332 0.6594
Dy4 0.2824 0.5624 0.8438
Dy5 0.4688 0.9385 0.4091
Tm1 0.1571 0.3145 0.4677
Tm2 0.3431 0.6864 0.0282
Mg1 0.4047 0.8126 0.2171

---

# 2
# PBE CrReAu2, optimized geometry
# * ΔE to the lowest computed polymorph: 19 meV per atom
# * calculated formation energy: 0.29 eV/atom
data_CrReAu2
_chemical_formula_sum 'Cr3 Re3 Au6'
_cell_length_a 2.8632
_cell_length_b 2.8632
_cell_length_c 27.2522
_cell_angle_alpha 90.00
_cell_angle_beta 90.00
_cell_angle_gamma 120.00
_symmetry_space_group_name_H-M 'R 3 m'
_symmetry_Int_Tables_number 160
_symmetry_space_group_name_Hall 'R 3 -2"'
loop_
_atom_site_label
_atom_site_fract_x
_atom_site_fract_y
_atom_site_fract_z
Cr1 0.0000 0.0000 0.0000
Re1 0.0000 0.0000 0.7342
Au1 0.0000 0.0000 0.2504
Au2 0.0000 0.0000 0.4913

---

# 3
# PBE RbCa2P2, optimized geometry
# * ΔE to the lowest computed polymorph: 0 meV per atom
# * calculated formation energy: -0.70 eV/atom
data_RbCa2P2
_chemical_formula_sum 'Rb2 Ca4 P4'
_cell_length_a 8.5794
_cell_length_b 8.5794
_cell_length_c 3.3933
_cell_angle_alpha 90.00
_cell_angle_beta 90.00
_cell_angle_gamma 90.00
_symmetry_space_group_name_H-M 'P 4/m b m'
_symmetry_Int_Tables_number 127
_symmetry_space_group_name_Hall '-P 4 2ab'
loop_
_atom_site_label
_atom_site_fract_x
_atom_site_fract_y
_atom_site_fract_z
Rb1 0.0000 0.0000 0.0000
Ca1 0.1323 0.3677 0.0000
P1 0.1633 0.6633 0.5000

---

# 4
# PBE ZrTlMoRu2, optimized geometry
# * calculated formation energy: 2.01 eV/atom
data_ZrTlMoRu2
_chemical_formula_sum 'Zr1 Tl1 Mo1 Ru2'
_cell_length_a 4.8553
_cell_length_b 4.8553
_cell_length_c 4.9403
_cell_angle_alpha 90.00
_cell_angle_beta 90.00
_cell_angle_gamma 90.00
_symmetry_space_group_name_H-M 'P 4/m m m'
_symmetry_Int_Tables_number 123
_symmetry_space_group_name_Hall '-P 4 2'
loop_
_atom_site_label
_atom_site_fract_x
_atom_site_fract_y
_atom_site_fract_z
Zr1 0.0000 0.0000 0.0000
Tl1 0.5000 0.5000 0.5000
Mo1 0.5000 0.5000 0.0000
Ru1 0.0000 0.5000 0.5000

---

# 5
# PBE SiSbPt, optimized geometry
# * E_form (uncorrected): -0.05 eV/atom
data_SiSbPt
_chemical_formula_sum 'Si2 Sb2 Pt2'
_cell_length_a 3.0936
_cell_length_b 3.0936
_cell_length_c 12.1153
_cell_angle_alpha 90.00
_cell_angle_beta 90.00
_cell_angle_gamma 90.00
_symmetry_space_group_name_H-M 'I 4 m m'
_symmetry_Int_Tables_number 107
_symmetry_space_group_name_Hall 'I 4 -2'
loop_
_atom_site_label
_atom_site_fract_x
_atom_site_fract_y
_atom_site_fract_z
Si1 0.0000 0.0000 0.0000
Sb1 0.0000 0.0000 0.2878
Pt1 0.0000 0.0000 0.6059

---

# 6
# PBE HfBeGe2Bi, optimized geometry
# * calculated formation energy: 0.54 eV/atom
data_HfBeGe2Bi
_chemical_formula_sum 'Hf1 Be1 Ge2 Bi1'
_cell_length_a 4.4363
_cell_length_b 4.4363
_cell_length_c 5.3266
_cell_angle_alpha 90.00
_cell_angle_beta 90.00
_cell_angle_gamma 90.00
_symmetry_space_group_name_H-M 'P 4/m m m'
_symmetry_Int_Tables_number 123
_symmetry_space_group_name_Hall '-P 4 2'
loop_
_atom_site_label
_atom_site_fract_x
_atom_site_fract_y
_atom_site_fract_z
Hf1 0.0000 0.0000 0.0000
Be1 0.5000 0.5000 0.5000
Ge1 0.0000 0.5000 0.5000
Bi1 0.5000 0.5000 0.0000

---

# 7
# PBE ThAg2I6, optimized geometry
# * E_form (uncorrected): -0.79 eV/atom
data_ThAg2I6
_chemical_formula_sum 'Th2 Ag4 I12'
_cell_length_a 7.2361
_cell_length_b 8.8722
_cell_length_c 15.1312
_cell_angle_alpha 90.00
_cell_angle_beta 114.93
_cell_angle_gamma 90.00
_symmetry_space_group_name_H-M 'P 1 21/c 1'
_symmetry_Int_Tables_number 14
_symmetry_space_group_name_Hall '-P 2ybc'
loop_
_atom_site_label
_atom_site_fract_x
_atom_site_fract_y
_atom_site_fract_z
Th1 0.0000 0.0000 0.0000
Ag1 0.4202 0.0836 0.9069
I1 0.1232 0.2204 0.4133
I2 0.2272 0.7165 0.4202
I3 0.3753 0.0281 0.2000

---

# 8
# PBE K2TlPPt, optimized geometry
# * ΔE to the lowest computed polymorph: 0 meV per atom
# * calculated formation energy: -0.19 eV/atom
data_K2TlPPt
_chemical_formula_sum 'K2 Tl1 P1 Pt1'
_cell_length_a 6.2511
_cell_length_b 6.2511
_cell_length_c 4.3916
_cell_angle_alpha 90.00
_cell_angle_beta 90.00
_cell_angle_gamma 90.00
_symmetry_space_group_name_H-M 'P 4/m m m'
_symmetry_Int_Tables_number 123
_symmetry_space_group_name_Hall '-P 4 2'
loop_
_atom_site_label
_atom_site_fract_x
_atom_site_fract_y
_atom_site_fract_z
K1 0.0000 0.5000 0.0000
Tl1 0.0000 0.0000 0.5000
P1 0.5000 0.5000 0.0000
Pt1 0.5000 0.5000 0.5000

---

# 9
# PBE MgMnP2, optimized geometry
# * calculated formation energy: -0.04 eV/atom
data_MgMnP2
_chemical_formula_sum 'Mg2 Mn2 P4'
_cell_length_a 3.6357
_cell_length_b 3.6357
_cell_length_c 9.2993
_cell_angle_alpha 90.00
_cell_angle_beta 90.00
_cell_angle_gamma 90.00
_symmetry_space_group_name_H-M 'I -4 m 2'
_symmetry_Int_Tables_number 119
_symmetry_space_group_name_Hall 'I -4 -2'
loop_
_atom_site_label
_atom_site_fract_x
_atom_site_fract_y
_atom_site_fract_z
Mg1 0.0000 0.0000 0.0000
Mn1 0.0000 0.5000 0.7500
P1 0.0000 0.0000 0.5000
P2 0.0000 0.5000 0.2500

---

# 10
# PBE NaPuCuBr6, optimized geometry
# * E_form (uncorrected): -1.10 eV/atom
data_NaPuCuBr6
_chemical_formula_sum 'Na1 Pu1 Cu1 Br6'
_cell_length_a 6.9703
_cell_length_b 6.9703
_cell_length_c 6.7107
_cell_angle_alpha 90.00
_cell_angle_beta 90.00
_cell_angle_gamma 120.00
_symmetry_space_group_name_H-M 'P 3 1 2'
_symmetry_Int_Tables_number 149
_symmetry_space_group_name_Hall 'P 3 2'
loop_
_atom_site_label
_atom_site_fract_x
_atom_site_fract_y
_atom_site_fract_z
Na1 0.0000 0.0000 0.0000
Pu1 0.3333 0.6667 0.5000
Cu1 0.6667 0.3333 0.5000
Br1 0.3618 0.0144 0.7333

---

# 11
# PBE VCo2GeN, optimized geometry
# * E_form (uncorrected): -0.29 eV/atom
data_VCo2GeN
_chemical_formula_sum 'V1 Co2 Ge1 N1'
_cell_length_a 3.7655
_cell_length_b 3.7655
_cell_length_c 3.9257
_cell_angle_alpha 90.00
_cell_angle_beta 90.00
_cell_angle_gamma 90.00
_symmetry_space_group_name_H-M 'P 4/m m m'
_symmetry_Int_Tables_number 123
_symmetry_space_group_name_Hall '-P 4 2'
loop_
_atom_site_label
_atom_site_fract_x
_atom_site_fract_y
_atom_site_fract_z
V1 0.0000 0.0000 0.0000
Co1 0.0000 0.5000 0.5000
Ge1 0.5000 0.5000 0.0000
N1 0.0000 0.0000 0.5000

---

# 12
# PBE Ho4Cd3In, optimized geometry
# * ΔE to the lowest computed polymorph: 0 meV per atom
# * calculated formation energy: -0.36 eV/atom
data_Ho4Cd3In
_chemical_formula_sum 'Ho12 Cd9 In3'
_cell_length_a 5.2757
_cell_length_b 5.2757
_cell_length_c 25.8892
_cell_angle_alpha 90.00
_cell_angle_beta 90.00
_cell_angle_gamma 120.00
_symmetry_space_group_name_H-M 'R -3 m'
_symmetry_Int_Tables_number 166
_symmetry_space_group_name_Hall '-R 3 2"'
loop_
_atom_site_label
_atom_site_fract_x
_atom_site_fract_y
_atom_site_fract_z
Ho1 0.0000 0.0000 0.1246
Ho2 0.0000 0.0000 0.3747
Cd1 0.0000 0.0000 0.0000
Cd2 0.0000 0.0000 0.2514
In1 0.0000 0.0000 0.5000

---

no.,total DFT energy (no corrections) (eV/atom)
1,-4.1771
2,-6.8695
3,-3.8618
4,-6.0458
5,-5.2497
6,-4.8224
7,-3.2767
8,-3.3921
9,-5.4361
10,-4.4081
11,-7.5420
12,-3.3342